Compound: KYCd2C
Source: the Alexandria database
Functional: PBE-GGA
Structure: optimized geometry

Values from the calculation:
energy of formation from the pure elements: 1090 kJ/mol of formula units
DOS at the Fermi energy: 4.7 states/eV/cell
total magnetic moment: 2.0 μB per cell
total energy: -1.463 eV per atom

The structure in extended XYZ format:
```
5
Lattice="5.9845 0.0000 0.0000 0.0000 7.1058 0.0000 0.0000 0.0000 5.9845" Properties=species:S:1:pos:R:3 pbc="T T T"
C 2.9923 3.5529 2.9923
Cd 0.0000 0.0000 2.9923
Cd 2.9923 0.0000 0.0000
K 0.0000 0.0000 0.0000
Y 0.0000 3.5529 0.0000
```